DFT (PBE) results for crystalline Cs2AsAuSe4 at its relaxed geometry.

The uncorrected formation energy comes out at -0.5176 eV/atom.

The space group is Fddd (No. 70, origin choice 2) and the conventional cell measures 6.8281, 13.6966 and 25.6110 Å, with angles of 90.00, 90.00 and 90.00 degrees. The inequivalent atoms are Cs at (0.1250, 0.1250, 0.3043), As at (0.1250, 0.1250, 0.6250), Au at (0.1250, 0.1250, 0.1250) and Se at (0.0865, 0.2775, 0.8238).



DFT (PBE) results for crystalline Ac2PmSb3 at its relaxed geometry.

The uncorrected formation energy comes out at -1.1896 eV/atom.

The space group is C2/m (No. 12) and the conventional cell measures 8.1447, 14.1005 and 8.1443 Å, with angles of 90.00, 109.49 and 90.00 degrees. The inequivalent atoms are Ac at (0.0000, 0.0000, 0.0000), Ac at (0.0000, 0.1644, 0.5000), Ac at (0.0000, 0.5000, 0.5000), Pm at (0.0000, 0.3325, 0.0000), Sb at (0.2367, 0.5000, 0.2373) and Sb at (0.2488, 0.3290, 0.7602).



DFT (PBE) results for crystalline Ce4PmSb6 at its relaxed geometry.

The uncorrected formation energy comes out at -0.8715 eV/atom.

The space group is R-3c (No. 167, hexagonal axes) and the conventional cell measures 12.2508, 12.2508 and 15.6242 Å, with angles of 90.00, 90.00 and 120.00 degrees. The inequivalent atoms are Ce at (0.0000, 0.0000, 0.2500), Ce at (0.0000, 0.3905, 0.2500), Pm at (0.0000, 0.0000, 0.0000) and Sb at (0.0354, 0.2171, 0.3853).



DFT (PBE) results for crystalline La2TbNd5Mg at its relaxed geometry.

The formation energy is 79 meV per atom.

The space group is Cmc2_1 (No. 36) and the conventional cell measures 5.6373, 20.3565 and 10.8511 Å, with angles of 90.00, 90.00 and 90.00 degrees. The inequivalent atoms are La at (0.0000, 0.1159, 0.0000), La at (0.0000, 0.1163, 0.4182), Tb at (0.0000, 0.2012, 0.7093), Nd at (0.0000, 0.0146, 0.7090), Nd at (0.0000, 0.2864, 0.0131), Nd at (0.0000, 0.2869, 0.4055), Nd at (0.0000, 0.3799, 0.7090), Nd at (0.0000, 0.5000, 0.4588) and Mg at (0.0000, 0.4043, 0.2087).



DFT (PBE) results for crystalline Ac8PmPb6 at its relaxed geometry.

The formation energy is -378 meV per atom.

The space group is R-3 (No. 148, hexagonal axes) and the conventional cell measures 9.9475, 9.9475 and 21.3187 Å, with angles of 90.00, 90.00 and 120.00 degrees. The inequivalent atoms are Ac at (0.0000, 0.0000, 0.1655), Ac at (0.0007, 0.6635, 0.3960), Pm at (0.0000, 0.0000, 0.5000) and Pb at (0.0002, 0.3254, 0.4336).



DFT (PBE) results for crystalline Sn2Bi2Te at its relaxed geometry.

The uncorrected formation energy comes out at 0.1149 eV/atom.

The space group is P4/mbm (No. 127) and the conventional cell measures 8.8378, 8.8378 and 4.0330 Å, with angles of 90.00, 90.00 and 90.00 degrees. The inequivalent atoms are Sn at (0.1373, 0.3627, 0.0000), Bi at (0.1617, 0.6617, 0.5000) and Te at (0.0000, 0.0000, 0.5000).



DFT (PBE) results for crystalline Y2FeAu at its relaxed geometry.

The formation energy is -332 meV per atom.

The space group is Amm2 (No. 38) and the conventional cell measures 4.3957, 3.9249 and 10.6632 Å, with angles of 90.00, 90.00 and 90.00 degrees. The inequivalent atoms are Y at (0.0000, 0.0000, 0.0000), Y at (0.5000, 0.0000, 0.2908), Fe at (0.0000, 0.0000, 0.7190) and Au at (0.5000, 0.0000, 0.5743).



DFT (PBE) results for crystalline ScCd2Os at its relaxed geometry.

The formation energy is 95 meV per atom.

The space group is I-4m2 (No. 119) and the conventional cell measures 4.2825, 4.2825 and 8.0971 Å, with angles of 90.00, 90.00 and 90.00 degrees. The inequivalent atoms are Sc at (0.0000, 0.0000, 0.0000), Cd at (0.0000, 0.0000, 0.5000), Cd at (0.0000, 0.5000, 0.7500) and Os at (0.0000, 0.5000, 0.2500).



DFT (PBE) results for crystalline CsRb2InAu at its relaxed geometry.

The formation energy is 8 meV per atom.

The space group is P4/mmm (No. 123) and the conventional cell measures 7.2815, 7.2815 and 5.3158 Å, with angles of 90.00, 90.00 and 90.00 degrees. The inequivalent atoms are Cs at (0.0000, 0.0000, 0.0000), Rb at (0.0000, 0.5000, 0.5000), In at (0.5000, 0.5000, 0.5000) and Au at (0.5000, 0.5000, 0.0000).



DFT (PBE) results for crystalline TiNi3Pd at its relaxed geometry.

The formation energy is -309 meV per atom.

The space group is P1 (No. 1) and the conventional cell measures 3.6768, 4.5287 and 4.5445 Å, with angles of 81.05, 66.25 and 66.06 degrees. The inequivalent atoms are Ti at (0.0000, 0.0000, 0.0000), Ni at (0.2091, 0.3827, 0.1995), Ni at (0.5926, 0.1999, 0.6137), Ni at (0.8182, 0.5700, 0.7948) and Pd at (0.4085, 0.7814, 0.4023).



DFT (PBE) results for crystalline InHg2F at its relaxed geometry.

The uncorrected formation energy comes out at -0.8196 eV/atom.

The space group is P2_1/m (No. 11) and the conventional cell measures 3.7351, 3.7173 and 16.6545 Å, with angles of 90.00, 94.98 and 90.00 degrees. The inequivalent atoms are In at (0.1376, 0.2500, 0.4040), Hg at (0.0613, 0.7500, 0.0849), Hg at (0.3865, 0.7500, 0.7825) and F at (0.2294, 0.2500, 0.5471).



DFT (PBE) results for crystalline Y4InPt2 at its relaxed geometry.

The formation energy is -145 meV per atom.

The space group is I4/mmm (No. 139) and the conventional cell measures 5.6328, 5.6328 and 13.9039 Å, with angles of 90.00, 90.00 and 90.00 degrees. The inequivalent atoms are Y at (0.0000, 0.0000, 0.2139), Y at (0.0000, 0.5000, 0.0000), In at (0.0000, 0.0000, 0.0000) and Pt at (0.0000, 0.0000, 0.4040).